Entry from Alexandria via LeMat-Bulk: a relaxed structure of IrRu2Pt (PBE).

Summary:
Density (g cm⁻³): 16.90
SG: Pmm2 (25)
Calculated formation energy (meV per atom): 21
Offset from the most stable computed form (eV/atom): 0.0265

```
IrRu2Pt
1.0
2.7327 0.0000 0.0000
0.0000 3.8662 0.0000
0.0000 0.0000 5.4811
Ru Ir Pt
2 1 1
Direct
0.0000 0.0000 0.0098
0.5000 0.5000 0.2470
0.0000 0.0000 0.4909
0.5000 0.5000 0.7523
```